Below is a geometry-optimized Ac6OsAu3 structure, with properties calculated at the GGA-PBE level.

Unit cell a=7.648 b=8.267 c=11.302 alpha=90.00 beta=85.68 gamma=90.00
Fractional coordinates of all 20 atoms:
Au  0.053  0.612  0.270
Au  0.000  0.000  0.500
Au  0.553  0.888  0.770
Au  0.500  0.500  0.000
Au  0.947  0.388  0.730
Au  0.447  0.112  0.230
Ac  0.154  0.309  0.080
Ac  0.191  0.326  0.434
Ac  0.838  0.947  0.242
Ac  0.846  0.691  0.920
Ac  0.338  0.553  0.742
Ac  0.309  0.826  0.066
Ac  0.162  0.053  0.758
Ac  0.654  0.191  0.580
Ac  0.662  0.447  0.258
Ac  0.346  0.809  0.420
Ac  0.809  0.674  0.566
Ac  0.691  0.174  0.934
Os  0.000  0.000  0.000
Os  0.500  0.500  0.500

Energy of formation from the pure elements = -0.50 eV/atom
Uncorrected energy = -101.33 eV for the cell shown
N(E_F) = 19.77 states/eV per cell